DFT (PBE-GGA) results for crystalline ZnOsRh2 at its relaxed geometry.

Properties
Its density of states at the Fermi level is 4.872 states/eV per cell. Its space group is R3m, No. 160. As for the calculated formation energy: 27 meV per atom. The value obtained for the total energy is -27.10 eV for the cell shown.

Cell lengths 8.879, 8.879, 8.879 Å; angles 17.75, 17.75, 17.75 degrees
Atoms (fractional coordinates):
Os1 0.749 0.749 0.749
Rh1 0.002 0.002 0.002
Rh2 0.248 0.248 0.248
Zn1 0.501 0.501 0.501

***

DFT (PBE-GGA) results for crystalline ZnOsRh2 at its relaxed geometry.

Properties
Its density of states at the Fermi level is 0.918 states/eV per cell. Its space group is F-43m, No. 216. As for the calculated formation energy: 215 meV per atom. The value obtained for the total energy is -26.35 eV for the cell shown.

Cell lengths 4.318, 4.318, 4.318 Å; angles 60.00, 60.00, 60.00 degrees
Atoms (fractional coordinates):
Os1 0.500 0.500 0.500
Rh1 0.000 0.000 0.000
Rh2 0.750 0.750 0.750
Zn1 0.250 0.250 0.250

***

DFT (PBE-GGA) results for crystalline ZnOs2Rh2 at its relaxed geometry.

Properties
Its density of states at the Fermi level is 3.605 states/eV per cell. The calculation puts the energy above the lowest structure with this stoichiometry at 168.2 meV per atom. Its space group is I4/mmm, No. 139. As for the calculated formation energy: 540 meV per atom. The value obtained for the total energy is -35.73 eV for the cell shown.

Cell lengths 3.780, 3.780, 6.363 Å; angles 72.72, 72.72, 90.00 degrees
Atoms (fractional coordinates):
Rh1 0.750 0.250 0.500
Rh2 0.250 0.750 0.500
Zn1 0.000 0.000 0.000
Os1 0.400 0.400 0.201
Os2 0.600 0.600 0.799

***

DFT (PBE-GGA) results for crystalline ZnOsRh2 at its relaxed geometry.

Properties
Its density of states at the Fermi level is 1.984 states/eV per cell. Its space group is P4/mmm, No. 123. As for the calculated formation energy: -151 meV per atom. The value obtained for the total energy is -27.81 eV for the cell shown.

Cell lengths 2.755, 2.755, 7.417 Å; angles 90.00, 90.00, 90.00 degrees
Atoms (fractional coordinates):
Rh1 0.000 0.000 0.752
Rh2 0.000 0.000 0.248
Zn1 0.500 0.500 0.500
Os1 0.500 0.500 0.000

***

DFT (PBE-GGA) results for crystalline ZnOsRh2 at its relaxed geometry.

Properties
Its density of states at the Fermi level is 4.715 states/eV per cell. Its space group is Pmmm, No. 47. As for the calculated formation energy: 221 meV per atom. The value obtained for the total energy is -26.32 eV for the cell shown.

Cell lengths 2.769, 4.582, 4.514 Å; angles 90.00, 90.00, 90.00 degrees
Atoms (fractional coordinates):
Os1 0.000 0.500 0.500
Rh1 0.000 0.000 0.000
Rh2 0.500 0.500 0.000
Zn1 0.500 0.000 0.500

***

DFT (PBE-GGA) results for crystalline ZnOsRh2 at its relaxed geometry.

Properties
Its density of states at the Fermi level is 3.647 states/eV per cell. Its space group is Cmmm, No. 65. As for the calculated formation energy: -22 meV per atom. The value obtained for the total energy is -27.30 eV for the cell shown.

Cell lengths 4.687, 4.687, 2.718 Å; angles 90.00, 90.00, 108.94 degrees
Atoms (fractional coordinates):
Os1 0.000 0.500 0.500
Rh1 0.000 0.000 0.000
Rh2 0.500 0.500 0.000
Zn1 0.500 0.000 0.500

***

DFT (PBE-GGA) results for crystalline ZnOsRh4 at its relaxed geometry.

Properties
Its density of states at the Fermi level is 8.113 states/eV per cell. Its space group is F-43m, No. 216. As for the calculated formation energy: 496 meV per atom. The value obtained for the total energy is -38.93 eV for the cell shown.

Cell lengths 5.061, 5.061, 5.061 Å; angles 60.00, 60.00, 60.00 degrees
Atoms (fractional coordinates):
Zn1 0.750 0.750 0.750
Os1 0.000 0.000 0.000
Rh1 0.375 0.875 0.375
Rh2 0.875 0.375 0.375
Rh3 0.375 0.375 0.875
Rh4 0.375 0.375 0.375

***

DFT (PBE-GGA) results for crystalline ZrOsRh2 at its relaxed geometry.

Properties
Its density of states at the Fermi level is 6.715 states/eV per cell. The calculation puts the energy above the lowest structure with this stoichiometry at 532.4 meV per atom. Its space group is I-42d, No. 122. As for the calculated formation energy: 116 meV per atom. The value obtained for the total energy is -68.03 eV for the cell shown.

Cell lengths 3.931, 3.931, 9.423 Å; angles 77.96, 77.96, 90.00 degrees
Atoms (fractional coordinates):
Rh1 0.646 0.125 0.250
Rh2 0.104 0.625 0.250
Rh3 0.375 0.354 0.750
Rh4 0.875 0.896 0.750
Os1 0.000 0.000 0.000
Os2 0.750 0.250 0.500
Zr1 0.500 0.500 0.000
Zr2 0.250 0.750 0.500

***

DFT (PBE-GGA) results for crystalline ZrOsRh2 at its relaxed geometry.

Properties
Its density of states at the Fermi level is 3.624 states/eV per cell. The calculation puts the energy above the lowest structure with this stoichiometry at 165.5 meV per atom. Its space group is P2/m, No. 10. As for the calculated formation energy: -251 meV per atom. The value obtained for the total energy is -35.48 eV for the cell shown.

Cell lengths 2.933, 4.738, 5.664 Å; angles 53.42, 90.00, 90.00 degrees
Atoms (fractional coordinates):
Os1 0.000 0.000 0.500
Rh1 0.000 0.000 0.000
Rh2 0.500 0.500 0.000
Zr1 0.500 0.500 0.500

***

DFT (PBE-GGA) results for crystalline ZrOsRh2 at its relaxed geometry.

Properties
Its density of states at the Fermi level is 3.602 states/eV per cell. The calculation puts the energy above the lowest structure with this stoichiometry at 196.0 meV per atom. Its space group is C2/m, No. 12. As for the calculated formation energy: -220 meV per atom. The value obtained for the total energy is -35.36 eV for the cell shown.

Cell lengths 4.870, 4.870, 4.790 Å; angles 79.34, 79.34, 34.91 degrees
Atoms (fractional coordinates):
Os1 0.250 0.250 0.250
Rh1 0.993 0.993 0.018
Rh2 0.507 0.507 0.482
Zr1 0.750 0.750 0.750

***

DFT (PBE-GGA) results for crystalline ZrOsRh at its relaxed geometry.

Properties
Its density of states at the Fermi level is 2.916 states/eV per cell. The calculation puts the energy above the lowest structure with this stoichiometry at 0.0 meV per atom. Its space group is I4mm, No. 107. As for the calculated formation energy: -140 meV per atom. The value obtained for the total energy is -27.55 eV for the cell shown.

Cell lengths 6.454, 6.454, 2.843 Å; angles 77.27, 77.27, 25.45 degrees
Atoms (fractional coordinates):
Os1 0.988 0.988 0.012
Rh1 0.346 0.346 0.654
Zr1 0.666 0.666 0.334

***

DFT (PBE-GGA) results for crystalline Zr2OsRh at its relaxed geometry.

Properties
Its density of states at the Fermi level is 2.572 states/eV per cell. Its space group is Immm, No. 71. As for the calculated formation energy: 395 meV per atom. The value obtained for the total energy is -34.10 eV for the cell shown.

Cell lengths 5.879, 5.879, 5.879 Å; angles 59.61, 151.54, 128.81 degrees
Atoms (fractional coordinates):
Zr1 0.000 0.249 0.249
Zr2 0.000 0.751 0.751
Os1 0.000 0.500 0.500
Rh1 0.000 0.000 0.000